1.
# Nb3FeGe4, optimized geometry, DFT PBE-GGA
# Magnetization (μB/f.u.): 1.79
# Energy of formation from the pure elements (eV per atom): 0.111
data_Nb3FeGe4
_chemical_formula_sum 'Nb6 Fe2 Ge8'
_space_group_name_H-M_alt 'P m n 21'
_space_group_IT_number 31
_cell_length_a 8.566
_cell_length_b 7.225
_cell_length_c 5.146
_cell_angle_alpha 90.00
_cell_angle_beta 90.00
_cell_angle_gamma 90.00
loop_
_space_group_symop_operation_xyz
'x,y,z'
'-x+1/2,-y,z+1/2'
'-x,y,z'
'x+1/2,-y,z+1/2'
loop_
_atom_site_label
_atom_site_fract_x
_atom_site_fract_y
_atom_site_fract_z
Nb1 0.000 0.155 0.000
Nb2 0.249 0.330 0.508
Fe1 0.000 0.821 0.777
Ge1 0.000 0.119 0.506
Ge2 0.000 0.822 0.237
Ge3 0.223 0.690 0.513

***

2.
# NbFeGe2, optimized geometry, DFT PBE-GGA
# Magnetization (μB/f.u.): 1.92
# Energy of formation from the pure elements (eV per atom): 0.083
data_NbFeGe2
_chemical_formula_sum 'Nb4 Fe4 Ge8'
_space_group_name_H-M_alt 'F m -3 m'
_space_group_IT_number 225
_space_group_name_Hall '-F 4 2 3'
_cell_length_a 6.225
_cell_length_b 6.225
_cell_length_c 6.225
_cell_angle_alpha 90.00
_cell_angle_beta 90.00
_cell_angle_gamma 90.00
loop_
_atom_site_label
_atom_site_fract_x
_atom_site_fract_y
_atom_site_fract_z
Nb1 0.000 0.000 0.000
Fe1 0.000 0.000 0.500
Ge1 0.250 0.250 0.250

***

3.
# NbFeGe2, optimized geometry, DFT PBE-GGA
# Magnetization (μB/f.u.): 1.71
# Energy of formation from the pure elements (eV per atom): 0.233
data_NbFeGe2
_chemical_formula_sum 'Nb4 Fe4 Ge8'
_space_group_name_H-M_alt 'I -4 2 d'
_space_group_IT_number 122
_space_group_name_Hall 'I -4 2bw'
_cell_length_a 3.860
_cell_length_b 3.860
_cell_length_c 17.951
_cell_angle_alpha 90.00
_cell_angle_beta 90.00
_cell_angle_gamma 90.00
loop_
_atom_site_label
_atom_site_fract_x
_atom_site_fract_y
_atom_site_fract_z
Nb1 0.000 0.000 0.000
Fe1 0.000 0.000 0.500
Ge1 0.232 0.250 0.625

***

4.
# Nb2FeGe2, optimized geometry, DFT PBE-GGA
# Magnetization (μB/f.u.): 0.00
# Energy of formation from the pure elements (eV per atom): -0.117
data_Nb2FeGe2
_chemical_formula_sum 'Nb4 Fe2 Ge4'
_space_group_name_H-M_alt 'P 1 21/m 1'
_space_group_IT_number 11
_cell_length_a 5.347
_cell_length_b 3.782
_cell_length_c 8.390
_cell_angle_alpha 90.00
_cell_angle_beta 99.11
_cell_angle_gamma 90.00
loop_
_space_group_symop_operation_xyz
'x,y,z'
'-x,-y,-z'
'-x,y+1/2,-z'
'x,-y+1/2,z'
loop_
_atom_site_label
_atom_site_fract_x
_atom_site_fract_y
_atom_site_fract_z
Nb1 0.049 0.250 0.147
Nb2 0.253 0.250 0.581
Fe1 0.330 0.750 0.084
Ge1 0.225 0.750 0.361
Ge2 0.423 0.750 0.812

***

5.
# NbFeGe3, optimized geometry, DFT PBE-GGA
# Magnetization (μB/f.u.): 3.94
# Energy of formation from the pure elements (eV per atom): 0.660
data_NbFeGe3
_chemical_formula_sum 'Nb1 Fe1 Ge3'
_space_group_name_H-M_alt 'P m -3 m'
_space_group_IT_number 221
_space_group_name_Hall '-P 4 2 3'
_cell_length_a 4.535
_cell_length_b 4.535
_cell_length_c 4.535
_cell_angle_alpha 90.00
_cell_angle_beta 90.00
_cell_angle_gamma 90.00
loop_
_atom_site_label
_atom_site_fract_x
_atom_site_fract_y
_atom_site_fract_z
Nb1 0.000 0.000 0.000
Fe1 0.500 0.500 0.500
Ge1 0.000 0.500 0.500

***

6.
# NbFeGe2, optimized geometry, DFT PBE-GGA
# Magnetization (μB/f.u.): 0.34
# Energy of formation from the pure elements (eV per atom): -0.046
data_NbFeGe2
_chemical_formula_sum 'Nb3 Fe3 Ge6'
_space_group_name_H-M_alt 'R -3 m'
_space_group_IT_number 166
_space_group_name_Hall '-R 3 2"'
_cell_length_a 3.9408
_cell_length_b 3.9408
_cell_length_c 13.4207
_cell_angle_alpha 90.00
_cell_angle_beta 90.00
_cell_angle_gamma 120.00
loop_
_atom_site_label
_atom_site_fract_x
_atom_site_fract_y
_atom_site_fract_z
Nb1 0.0000 0.0000 0.0000
Fe1 0.0000 0.0000 0.5000
Ge1 0.0000 0.0000 0.2276